# LiZn5Ni4 | Alexandria via LeMat-Bulk | PBE | relaxed
# Calculated total energy in eV/atom: -3.363
# ρ in Mg/m³: 7.55
data_LiZn5Ni4
_chemical_formula_sum 'Li1 Zn5 Ni4'
_cell_length_a 2.896
_cell_length_b 2.896
_cell_length_c 14.918
_cell_angle_alpha 90.00
_cell_angle_beta 90.00
_cell_angle_gamma 90.00
_symmetry_space_group_name_H-M 'P 4/m m m'
_symmetry_Int_Tables_number 123
_symmetry_space_group_name_Hall '-P 4 2'
loop_
_atom_site_label
_atom_site_type_symbol
_atom_site_fract_x
_atom_site_fract_y
_atom_site_fract_z
Li1 Li 0.000 0.000 0.000
Zn1 Zn 0.500 0.500 0.112
Zn2 Zn 0.500 0.500 0.307
Zn3 Zn 0.500 0.500 0.500
Ni1 Ni 0.000 0.000 0.210
Ni2 Ni 0.000 0.000 0.404